# GdPuAg2 | Alexandria via LeMat-Bulk | PBE | relaxed
# Energy relative to the lowest polymorph listed for this composition: 0.039 eV/atom
# Energy relative to the elements: -0.049 eV/atom
# DFT total energy: -8.58 eV/atom
data_GdPuAg2
_chemical_formula_sum 'Gd4 Pu4 Ag8'
_symmetry_space_group_name_H-M 'F m -3 m'
_symmetry_Int_Tables_number 225
_symmetry_space_group_name_Hall '-F 4 2 3'
_cell_length_a 7.371
_cell_length_b 7.371
_cell_length_c 7.371
_cell_angle_alpha 90.00
_cell_angle_beta 90.00
_cell_angle_gamma 90.00
loop_
_atom_site_label
_atom_site_type_symbol
_atom_site_fract_x
_atom_site_fract_y
_atom_site_fract_z
Gd1 Gd 0.000 0.000 0.000
Pu1 Pu 0.000 0.000 0.500
Ag1 Ag 0.250 0.250 0.250